1.
Sr3Rh | Alexandria via LeMat-Bulk | SCAN | PBEsol geometry; spin magnetization = 0.00 μB per atom; calculated total energy = -98.79 eV for the cell shown; space-group type = R-3m (166); ΔE_f = 1.81 eV/f.u.
1.0
3.749 0.000 0.000
-1.250 6.255 0.000
-1.250 -3.128 5.417
Rh Sr
1 3
direct
0.000 0.000 0.000
0.500 0.500 0.000
0.000 0.500 0.500
0.500 0.000 0.500

=====

2.
Sr8Rh5 | Alexandria via LeMat-Bulk | SCAN | PBEsol geometry; spin magnetization = 0.00 μB per atom; calculated total energy = -348.75 eV for the cell shown; space-group type = Pm-3m (221); ΔE_f = -1.69 eV/f.u.
1.0
7.152 0.000 0.000
0.000 7.152 0.000
0.000 0.000 7.152
Sr Rh
8 5
direct
0.251 0.251 0.749
0.251 0.749 0.251
0.749 0.251 0.251
0.749 0.749 0.749
0.749 0.749 0.251
0.749 0.251 0.749
0.251 0.749 0.749
0.251 0.251 0.251
0.000 0.000 0.000
0.500 0.500 0.000
0.500 0.000 0.500
0.000 0.500 0.500
0.500 0.500 0.500